(1)
Hf4FeSn | GGA-PBE | optimized geometry

Summary:
ΔE_f: -1.36 eV/f.u.
DOS(E_F): 6.92 states/eV/f.u.

```
data_Hf4FeSn
_chemical_formula_sum 'Hf16 Fe4 Sn4'
_space_group_name_H-M_alt 'C 1 2/c 1'
_space_group_IT_number 15
_cell_length_a 8.085
_cell_length_b 12.178
_cell_length_c 5.448
_cell_angle_alpha 90.00
_cell_angle_beta 111.11
_cell_angle_gamma 90.00
loop_
_space_group_symop_operation_xyz
'x,y,z'
'-x,-y,-z'
'-x,y,-z+1/2'
'x,-y,z+1/2'
'x+1/2,y+1/2,z'
'-x+1/2,-y+1/2,-z'
'-x+1/2,y+1/2,-z+1/2'
'x+1/2,-y+1/2,z+1/2'
loop_
_atom_site_label
_atom_site_fract_x
_atom_site_fract_y
_atom_site_fract_z
Hf1 0.111 0.173 0.065
Hf2 0.225 0.421 0.352
Fe1 0.000 0.002 0.250
Sn1 0.000 0.378 0.750
```

***

(2)
Ba3TiO | GGA-PBE | optimized geometry

Summary:
DOS(E_F): 10.97 states/eV/f.u.
Raw total energy: -4.1847 eV per atom

```
data_Ba3TiO
_chemical_formula_sum 'Ba3 Ti1 O1'
_space_group_name_H-M_alt 'P m -3 m'
_space_group_IT_number 221
_space_group_name_Hall '-P 4 2 3'
_cell_length_a 5.520
_cell_length_b 5.520
_cell_length_c 5.520
_cell_angle_alpha 90.00
_cell_angle_beta 90.00
_cell_angle_gamma 90.00
loop_
_atom_site_label
_atom_site_fract_x
_atom_site_fract_y
_atom_site_fract_z
Ba1 0.000 0.000 0.500
Ti1 0.500 0.500 0.500
O1 0.000 0.000 0.000
```

***

(3)
Tb2TlRuO8 | GGA-PBE | optimized geometry

Summary:
DOS(E_F): 4.78 states/eV/f.u.
Raw total energy: -6.8487 eV per atom

```
data_Tb2TlRuO8
_chemical_formula_sum 'Tb4 Tl2 Ru2 O16'
_space_group_name_H-M_alt 'C 1 2/m 1'
_space_group_IT_number 12
_cell_length_a 6.810
_cell_length_b 7.149
_cell_length_c 7.088
_cell_angle_alpha 90.00
_cell_angle_beta 90.28
_cell_angle_gamma 90.00
loop_
_space_group_symop_operation_xyz
'x,y,z'
'-x,-y,-z'
'-x,y,-z'
'x,-y,z'
'x+1/2,y+1/2,z'
'-x+1/2,-y+1/2,-z'
'-x+1/2,y+1/2,-z'
'x+1/2,-y+1/2,z'
loop_
_atom_site_label
_atom_site_fract_x
_atom_site_fract_y
_atom_site_fract_z
Tb1 0.006 0.000 0.255
Tl1 0.000 0.500 0.000
Ru1 0.000 0.500 0.500
O1 0.005 0.316 0.696
O2 0.199 0.000 0.997
O3 0.219 0.000 0.506
```

***

(4)
SrMgCl | GGA-PBE | optimized geometry

Summary:
DOS(E_F): 2.28 states/eV/f.u.
Raw total energy: -2.5751 eV per atom

```
data_SrMgCl
_chemical_formula_sum 'Sr1 Mg1 Cl1'
_space_group_name_H-M_alt 'P 3 m 1'
_space_group_IT_number 156
_cell_length_a 4.1350
_cell_length_b 4.1350
_cell_length_c 7.4549
_cell_angle_alpha 90.00
_cell_angle_beta 90.00
_cell_angle_gamma 120.00
loop_
_space_group_symop_operation_xyz
'x,y,z'
'-y,x-y,z'
'-x+y,-x,z'
'-y,-x,z'
'-x+y,y,z'
'x,x-y,z'
loop_
_atom_site_label
_atom_site_fract_x
_atom_site_fract_y
_atom_site_fract_z
Sr1 0.0000 0.0000 0.0000
Mg1 0.6667 0.3333 0.6453
Cl1 0.3333 0.6667 0.2271
```

***

(5)
Fe2MoBr | GGA-PBE | optimized geometry

Summary:
DOS(E_F): 3.51 states/eV/f.u.
Raw total energy: -6.5063 eV per atom

```
data_Fe2MoBr
_chemical_formula_sum 'Fe8 Mo4 Br4'
_space_group_name_H-M_alt 'F -4 3 m'
_space_group_IT_number 216
_space_group_name_Hall 'F -4 2 3'
_cell_length_a 6.122
_cell_length_b 6.122
_cell_length_c 6.122
_cell_angle_alpha 90.00
_cell_angle_beta 90.00
_cell_angle_gamma 90.00
loop_
_atom_site_label
_atom_site_fract_x
_atom_site_fract_y
_atom_site_fract_z
Fe1 0.000 0.000 0.000
Fe2 0.250 0.250 0.250
Mo1 0.000 0.000 0.500
Br1 0.250 0.250 0.750
```

***

(6)
HoGe3Os3 | GGA-PBE | optimized geometry

Summary:
ΔE_f: 3.58 eV/f.u.
DOS(E_F): 2.68 states/eV/f.u.

```
data_HoGe3Os3
_chemical_formula_sum 'Ho2 Ge6 Os6'
_space_group_name_H-M_alt 'P m -3 n'
_space_group_IT_number 223
_space_group_name_Hall '-P 4n 2 3'
_cell_length_a 6.722
_cell_length_b 6.722
_cell_length_c 6.722
_cell_angle_alpha 90.00
_cell_angle_beta 90.00
_cell_angle_gamma 90.00
loop_
_atom_site_label
_atom_site_fract_x
_atom_site_fract_y
_atom_site_fract_z
Ho1 0.000 0.000 0.000
Ge1 0.000 0.250 0.500
Os1 0.000 0.500 0.250
```